Compound: UCuNi4H8
Source: the Alexandria database
Functional: PBE
Structure: optimized geometry

Cell lengths 4.9281, 4.9281, 16.9900 Å; angles 90.00, 90.00, 120.00 degrees
Space group R3m (No. 160, hexagonal axes)
Asymmetric unit:
U1 0.0000 0.0000 0.0000
Cu1 0.0000 0.0000 0.3949
Ni1 0.0000 0.0000 0.6162
Ni2 0.1672 0.3343 0.8381
H1 0.0000 0.0000 0.2259
H2 0.0000 0.0000 0.7850
H3 0.0040 0.5020 0.2265
H4 0.0228 0.5114 0.7773

For the total magnetic moment, the calculation gives 0.186 μB per atom. For the energy, the calculation gives -4.584 eV per atom.